1.
A relaxed TbZr crystal. Source: the Open Quantum Materials Database, functional PBE.

abc: 6.7591 5.3945 9.0839
angles: 90.00 100.18 90.00
Closest atoms and distances in Å follow each position.
Fractional positions:
Tb1 0.1426 0.2500 0.0604  9 Tb 3.35-3.56, 3 Zr 3.47-3.65
Tb2 0.1991 0.7500 0.2867  8 Zr 3.25-3.39, 3 Tb 3.37-3.56
Tb3 0.3571 0.7500 0.9200  4 Zr 3.28-3.37, 6 Tb 3.35-3.48
Tb4 0.6429 0.2500 0.0800  4 Zr 3.28-3.37, 6 Tb 3.35-3.48
Tb5 0.8009 0.2500 0.7133  8 Zr 3.25-3.39, 3 Tb 3.37-3.56
Tb6 0.8574 0.7500 0.9396  9 Tb 3.35-3.56, 3 Zr 3.47-3.65
Zr1 0.0325 0.7500 0.6026  7 Zr 3.18-3.48, 5 Tb 3.26-3.47
Zr2 0.2957 0.2500 0.6946  6 Zr 3.15-3.27, 4 Tb 3.37-3.39
Zr3 0.4822 0.2500 0.3998  7 Zr 3.15-3.48, 5 Tb 3.25-3.50
Zr4 0.5178 0.7500 0.6002  7 Zr 3.15-3.48, 5 Tb 3.25-3.50
Zr5 0.7043 0.7500 0.3054  6 Zr 3.15-3.27, 4 Tb 3.37-3.39
Zr6 0.9675 0.2500 0.3974  7 Zr 3.18-3.48, 5 Tb 3.26-3.47

Computed properties:
Total magnetization: 0.024 μB/cell
Formation energy from the elements: 0.072 eV/atom
Energy relative to the lowest polymorph listed for this composition: 18 meV/atom

***

2.
A relaxed TbZr crystal. Source: the Open Quantum Materials Database, functional PBE.

abc: 3.3676 5.3589 5.9904
angles: 90.00 90.00 90.00
Closest atoms and distances in Å follow each position.
Fractional positions:
Tb1 0.2500 0.2500 0.0982  6 Zr 3.30-3.57, 6 Tb 3.37-3.38
Tb2 0.7500 0.7500 0.9018  6 Zr 3.30-3.57, 6 Tb 3.37-3.38
Zr1 0.2500 0.7500 0.4279  6 Zr 3.28-3.37, 6 Tb 3.30-3.57
Zr2 0.7500 0.2500 0.5721  6 Zr 3.28-3.37, 6 Tb 3.30-3.57

Computed properties:
Total magnetization: 0.032 μB/cell
Formation energy from the elements: 0.094 eV/atom
Energy relative to the lowest polymorph listed for this composition: 40 meV/atom

***

3.
A relaxed Tb2Zr crystal. Source: the Open Quantum Materials Database, functional PBE.

abc: 5.2231 5.2231 5.2231
angles: 60.00 60.00 60.00
Closest atoms and distances in Å follow each position.
Fractional positions:
Tb1 0.2500 0.2500 0.2500  4 Zr 3.20
Tb2 0.7500 0.7500 0.7500  4 Zr 3.20
Zr1 0.0000 0.0000 0.0000  8 Tb 3.20

Computed properties:
Total magnetization: 1.420 μB/cell
Formation energy from the elements: 0.788 eV/atom
Energy relative to the lowest polymorph listed for this composition: 685 meV/atom

***

4.
A relaxed Tb2Zr crystal. Source: the Open Quantum Materials Database, functional PBE.

abc: 7.6596 7.6596 4.8069
angles: 90.00 90.00 143.06
Closest atoms and distances in Å follow each position.
Fractional positions:
Tb1 0.0792 0.9208 0.7500  6 Zr 3.31-3.42, 6 Tb 3.33-3.47
Tb2 0.2499 0.7501 0.2500  8 Tb 3.42-3.47, 4 Zr 3.49-3.51
Tb3 0.7501 0.2499 0.7500  8 Tb 3.42-3.47, 4 Zr 3.49-3.51
Tb4 0.9208 0.0792 0.2500  6 Zr 3.31-3.42, 6 Tb 3.33-3.47
Zr1 0.4242 0.5758 0.7500  2 Zr 3.26, 10 Tb 3.31-3.51
Zr2 0.5758 0.4242 0.2500  2 Zr 3.26, 10 Tb 3.31-3.51

Computed properties:
Total magnetization: 0.029 μB/cell
Formation energy from the elements: 0.103 eV/atom
Energy relative to the lowest polymorph listed for this composition: 0 meV/atom

***

5.
A relaxed TbZr crystal. Source: the Open Quantum Materials Database, functional PBE.

abc: 6.7924 5.4019 8.9898
angles: 90.00 100.83 90.00
Closest atoms and distances in Å follow each position.
Fractional positions:
Tb1 0.0304 0.2500 0.1224  4 Zr 3.32-3.41, 8 Tb 3.37-3.60
Tb2 0.2035 0.2500 0.7676  5 Tb 3.24-3.60, 7 Zr 3.32-3.41
Tb3 0.3185 0.7500 0.2297  5 Tb 3.24-3.58, 7 Zr 3.28-3.40
Tb4 0.6815 0.2500 0.7703  5 Tb 3.24-3.58, 7 Zr 3.28-3.40
Tb5 0.7965 0.7500 0.2324  5 Tb 3.24-3.60, 7 Zr 3.32-3.41
Tb6 0.9696 0.7500 0.8776  4 Zr 3.32-3.41, 8 Tb 3.37-3.60
Zr1 0.1482 0.7500 0.5495  7 Zr 3.24-3.55, 5 Tb 3.29-3.39
Zr2 0.3719 0.2500 0.4398  7 Zr 3.24-3.55, 5 Tb 3.28-3.36
Zr3 0.4751 0.7500 0.8921  4 Zr 3.31-3.44, 8 Tb 3.32-3.41
Zr4 0.5249 0.2500 0.1079  4 Zr 3.31-3.44, 8 Tb 3.32-3.41
Zr5 0.6281 0.7500 0.5602  7 Zr 3.24-3.55, 5 Tb 3.28-3.36
Zr6 0.8518 0.2500 0.4505  7 Zr 3.24-3.55, 5 Tb 3.29-3.39

Computed properties:
Total magnetization: 0.019 μB/cell
Formation energy from the elements: 0.100 eV/atom
Energy relative to the lowest polymorph listed for this composition: 46 meV/atom

***

6.
A relaxed TbZr crystal. Source: the Open Quantum Materials Database, functional PBE.

abc: 6.7765 5.3880 9.0828
angles: 90.00 100.84 90.00
Closest atoms and distances in Å follow each position.
Fractional positions:
Tb1 0.0241 0.2500 0.1176  7 Tb 3.32-3.59, 5 Zr 3.36-3.68
Tb2 0.3090 0.7500 0.2403  6 Zr 3.22-3.41, 5 Tb 3.38-3.59
Tb3 0.4655 0.7500 0.8800  7 Tb 3.32-3.62, 5 Zr 3.37-3.70
Tb4 0.5345 0.2500 0.1200  7 Tb 3.32-3.62, 5 Zr 3.37-3.70
Tb5 0.6910 0.2500 0.7597  6 Zr 3.22-3.41, 5 Tb 3.38-3.59
Tb6 0.9759 0.7500 0.8824  7 Tb 3.32-3.59, 5 Zr 3.36-3.68
Zr1 0.1301 0.7500 0.5519  9 Zr 3.17-3.50, 3 Tb 3.28-3.39
Zr2 0.1864 0.2500 0.7534  4 Zr 3.11-3.24, 6 Tb 3.36-3.41
Zr3 0.3553 0.2500 0.4580  6 Zr 3.11-3.33, 4 Tb 3.22-3.46
Zr4 0.6447 0.7500 0.5420  6 Zr 3.11-3.33, 4 Tb 3.22-3.46
Zr5 0.8136 0.7500 0.2466  4 Zr 3.11-3.24, 6 Tb 3.36-3.41
Zr6 0.8699 0.2500 0.4481  9 Zr 3.17-3.50, 3 Tb 3.28-3.39

Computed properties:
Total magnetization: 0.021 μB/cell
Formation energy from the elements: 0.071 eV/atom
Energy relative to the lowest polymorph listed for this composition: 17 meV/atom

***

7.
A relaxed Tb2Zr crystal. Source: the Open Quantum Materials Database, functional PBE.

abc: 6.2710 6.2710 6.2710
angles: 60.00 60.00 60.00
Closest atoms and distances in Å follow each position.
Fractional positions:
Tb1 0.0000 0.0000 0.0000  6 Tb 3.14
Tb2 0.0000 0.0000 0.5000  6 Tb 3.14
Tb3 0.0000 0.5000 0.0000  6 Tb 3.14
Tb4 0.5000 0.0000 0.0000  6 Tb 3.14
Zr1 0.3750 0.3750 0.3750  12 Tb 3.68, 4 Zr 3.84
Zr2 0.6250 0.6250 0.6250  12 Tb 3.68, 4 Zr 3.84

Computed properties:
Total magnetization: 3.007 μB/cell
Formation energy from the elements: 0.535 eV/atom
Energy relative to the lowest polymorph listed for this composition: 432 meV/atom

***

8.
A relaxed TbZr crystal. Source: the Open Quantum Materials Database, functional PBE.

abc: 5.8801 5.3964 6.8065
angles: 90.00 90.00 90.00
Closest atoms and distances in Å follow each position.
Fractional positions:
Tb1 0.0892 0.2500 0.1261  8 Zr 3.28-3.50, 4 Tb 3.37-3.39
Tb2 0.4108 0.7500 0.6261  8 Zr 3.28-3.50, 4 Tb 3.37-3.39
Tb3 0.5892 0.2500 0.3739  8 Zr 3.28-3.50, 4 Tb 3.37-3.39
Tb4 0.9108 0.7500 0.8739  8 Zr 3.28-3.50, 4 Tb 3.37-3.39
Zr1 0.0681 0.2500 0.6224  4 Zr 3.27-3.41, 8 Tb 3.28-3.50
Zr2 0.4319 0.7500 0.1224  4 Zr 3.27-3.41, 8 Tb 3.28-3.50
Zr3 0.5681 0.2500 0.8776  4 Zr 3.27-3.41, 8 Tb 3.28-3.50
Zr4 0.9319 0.7500 0.3776  4 Zr 3.27-3.41, 8 Tb 3.28-3.50

Computed properties:
Total magnetization: 0.020 μB/cell
Formation energy from the elements: 0.098 eV/atom
Energy relative to the lowest polymorph listed for this composition: 44 meV/atom

***

no.,final energy (Ha/atom)
1,-0.239
2,-0.239
3,-0.189
4,-0.214
5,-0.238
6,-0.240
7,-0.198
8,-0.239